{
  "formula": "TaTe2W",
  "functional": "PBE-GGA",
  "state": "relaxed",
  "cell": [[4.4102, -1.6363, 0.0000], [4.4102, 1.6363, 0.0000], [-1.2238, 0.0000, 5.5528]],
  "species": ["Ta", "Te", "Te", "W"],
  "fractional_positions": [[0.0000, 0.0000, 0.0000], [0.2480, 0.2480, 0.7462], [0.7520, 0.7520, 0.2538], [0.5000, 0.5000, 0.5000]],
  "e_tot_ev_per_atom": -7.2287,
  "e_above_lowest_polymorph_mev_per_atom": 595.4,
  "e_form_raw_mev_per_atom": 543.6
}